Record 1
SrGaS2: relaxed, GGA-PBE.

a b c (Å): 7.886 7.886 7.886
angles (deg): 134.86 134.86 65.75
Sites, in units of the cell vectors:
Sr 0.000 0.000 0.000
Sr 0.750 0.250 0.500
Ga 0.250 0.750 0.500
Ga 0.500 0.500 0.000
S 0.183 0.625 0.058
S 0.375 0.433 0.558
S 0.567 0.125 0.942
S 0.875 0.817 0.442

Properties
Crystal system: tetragonal


Record 2
SrGa2S: relaxed, GGA-PBE.

a b c (Å): 6.564 6.564 6.564
angles (deg): 101.43 101.43 127.12
Sites, in units of the cell vectors:
Sr 0.000 0.000 0.000
Sr 0.750 0.250 0.500
Ga 0.177 0.625 0.052
Ga 0.375 0.427 0.552
Ga 0.573 0.125 0.948
Ga 0.875 0.823 0.448
S 0.250 0.750 0.500
S 0.500 0.500 0.000

Properties
Crystal system: tetragonal


| no. | theoretical density (g/cm3) | calculated volume (Å³ per cell) | ΔE_f (raw) (eV per atom) |
| --- | --- | --- | --- |
| 1 | 3.0 | 242.7 | -1.0543 |
| 2 | 4.3 | 201.9 | -0.4956 |